Crystalline ZrHgN2F at its relaxed geometry, computed with PBE.

Properties
excess energy over the best structure of this formula in the dataset: 0 meV/atom
total energy: -5.91 eV per atom
formation energy without anion corrections: -0.437 eV/atom

Cell: 4.308 4.308 4.178 Å, 90.00 90.00 90.00°
Space group P4/mmm (No. 123)
Symmetry-distinct sites (fractional):
Zr: 0.000 0.000 0.000 (multiplicity 1)
Hg: 0.500 0.500 0.500 (multiplicity 1)
N: 0.000 0.500 0.000 (multiplicity 2)
F: 0.000 0.000 0.500 (multiplicity 1)